# K3Er3PtO8, relaxed, DFT GGA-PBE
# * final energy: -6.542 eV/atom
# * volume: 246 Å³/f.u.
data_K3Er3PtO8
_cell_length_a 6.7228
_cell_length_b 6.7228
_cell_length_c 18.8172
_cell_angle_alpha 90.00
_cell_angle_beta 90.00
_cell_angle_gamma 120.00
_symmetry_space_group_name_H-M 'R -3 m'
_symmetry_Int_Tables_number 166
_symmetry_space_group_name_Hall '-R 3 2"'
loop_
_atom_site_label
_atom_site_type_symbol
_atom_site_fract_x
_atom_site_fract_y
_atom_site_fract_z
K1 K 0.0000 0.5000 0.0000
Er1 Er 0.0000 0.5000 0.5000
Pt1 Pt 0.0000 0.0000 0.5000
O1 O 0.0000 0.0000 0.2267
O2 O 0.0212 0.5106 0.2251